# 1
Density functional theory data (PBE) for crystalline Zr2PtBr at its relaxed geometry.

Total DFT energy (no corrections) (eV per atom): -6.354
Density (g/cm3): 6.67
ΔE_f (raw) (eV/atom): -0.152
Space group: I-42d (122)

Cell: 5.931 5.931 7.718 Å, 67.40 67.40 90.00°
Element x y z (fractional)
Br (0.500, 0.500, 0.000)
Br (0.250, 0.750, 0.500)
Zr (0.651, 0.125, 0.250)
Zr (0.099, 0.625, 0.250)
Zr (0.375, 0.349, 0.750)
Zr (0.875, 0.901, 0.750)
Pt (0.000, 0.000, 0.000)
Pt (0.750, 0.250, 0.500)

=====

# 2
Density functional theory data (PBE) for crystalline ZrPt2Br at its relaxed geometry.

Total DFT energy (no corrections) (eV per atom): -5.584
Density (g/cm3): 9.32
ΔE_f (raw) (eV/atom): -0.009
Space group: I-42d (122)

Cell: 6.758 6.758 6.481 Å, 58.58 58.58 90.00°
Element x y z (fractional)
Br (0.500, 0.500, 0.000)
Br (0.250, 0.750, 0.500)
Zr (0.000, 0.000, 0.000)
Zr (0.750, 0.250, 0.500)
Pt (0.634, 0.125, 0.250)
Pt (0.116, 0.625, 0.250)
Pt (0.375, 0.366, 0.750)
Pt (0.875, 0.884, 0.750)

=====

# 3
Density functional theory data (PBE) for crystalline Zr2PtBr at its relaxed geometry.

Total DFT energy (no corrections) (eV per atom): -6.754
Density (g/cm3): 7.86
ΔE_f (raw) (eV/atom): -0.551
Space group: R3m (160)

Cell: 9.701 9.701 9.701 Å, 20.35 20.35 20.35°
Element x y z (fractional)
Br (0.514, 0.514, 0.514)
Zr (0.004, 0.004, 0.004)
Zr (0.249, 0.249, 0.249)
Pt (0.733, 0.733, 0.733)

=====

# 4
Density functional theory data (PBE) for crystalline Zr2PtBr at its relaxed geometry.

Total DFT energy (no corrections) (eV per atom): -6.680
Density (g/cm3): 9.62
ΔE_f (raw) (eV/atom): -0.478
Space group: Fm-3m (225)

Cell: 4.816 4.816 4.816 Å, 60.00 60.00 60.00°
Element x y z (fractional)
Br (0.000, 0.000, 0.000)
Zr (0.250, 0.250, 0.250)
Zr (0.750, 0.750, 0.750)
Pt (0.500, 0.500, 0.500)

=====

# 5
Density functional theory data (PBE) for crystalline ZrPtBr2 at its relaxed geometry.

Total DFT energy (no corrections) (eV per atom): -5.140
Density (g/cm3): 6.44
ΔE_f (raw) (eV/atom): -0.656
Space group: Immm (71)

Cell: 8.084 8.084 4.547 Å, 73.64 73.64 23.84°
Element x y z (fractional)
Br (0.896, 0.896, 0.104)
Br (0.604, 0.604, 0.396)
Zr (0.250, 0.250, 0.250)
Pt (0.750, 0.750, 0.750)

=====

# 6
Density functional theory data (PBE) for crystalline ZrPtBr2 at its relaxed geometry.

Total DFT energy (no corrections) (eV per atom): -5.246
Density (g/cm3): 7.17
ΔE_f (raw) (eV/atom): -0.763
Space group: P4mm (99)

Cell: 3.488 3.488 8.492 Å, 90.00 90.00 90.00°
Element x y z (fractional)
Br (0.000, 0.000, 0.923)
Br (0.500, 0.500, 0.352)
Zr (0.500, 0.500, 0.687)
Pt (0.000, 0.000, 0.538)

=====

# 7
Density functional theory data (PBE) for crystalline Zr2PtBr at its relaxed geometry.

Total DFT energy (no corrections) (eV per atom): -6.768
Density (g/cm3): 8.69
ΔE_f (raw) (eV/atom): -0.566
Space group: P4mm (99)

Cell: 3.480 3.480 7.218 Å, 90.00 90.00 90.00°
Element x y z (fractional)
Br (0.000, 0.000, 0.467)
Zr (0.000, 0.000, 0.967)
Zr (0.500, 0.500, 0.260)
Pt (0.500, 0.500, 0.806)

=====

# 8
Density functional theory data (PBE) for crystalline ZrPt2Br at its relaxed geometry.

Total DFT energy (no corrections) (eV per atom): -6.091
Density (g/cm3): 9.96
ΔE_f (raw) (eV/atom): -0.515
Space group: Pm (6)

Cell: 3.332 3.653 8.489 Å, 64.88 90.00 90.00°
Element x y z (fractional)
Br (0.500, 0.166, 0.714)
Zr (0.000, 0.446, 0.430)
Pt (0.000, 0.782, 0.089)
Pt (0.500, 0.106, 0.267)

=====

# 9
Density functional theory data (PBE) for crystalline ZrPt2Br at its relaxed geometry.

Total DFT energy (no corrections) (eV per atom): -5.823
Density (g/cm3): 12.65
ΔE_f (raw) (eV/atom): -0.247
Space group: I4/mmm (139)

Cell: 5.332 5.332 5.332 Å, 135.40 135.40 64.91°
Element x y z (fractional)
Br (0.750, 0.250, 0.500)
Zr (0.250, 0.750, 0.500)
Pt (0.000, 0.000, 0.000)
Pt (0.500, 0.500, 0.000)

=====

# 10
Density functional theory data (PBE) for crystalline Zr2PtBr at its relaxed geometry.

Total DFT energy (no corrections) (eV per atom): -6.844
Density (g/cm3): 8.61
ΔE_f (raw) (eV/atom): -0.642
Space group: Pmmm (47)

Cell: 3.249 3.394 8.003 Å, 89.99 90.00 90.00°
Element x y z (fractional)
Br (0.500, 0.250, 0.250)
Zr (0.000, 0.250, 0.956)
Zr (0.000, 0.250, 0.544)
Pt (0.500, 0.750, 0.750)

=====

# 11
Density functional theory data (PBE) for crystalline ZrPt2Br at its relaxed geometry.

Total DFT energy (no corrections) (eV per atom): -5.988
Density (g/cm3): 10.12
ΔE_f (raw) (eV/atom): -0.412
Space group: Imm2 (44)

Cell: 7.231 7.231 7.231 Å, 154.22 145.84 43.29°
Element x y z (fractional)
Br (0.316, 0.816, 0.500)
Zr (0.483, 0.483, 0.000)
Pt (0.042, 0.042, 0.000)
Pt (0.659, 0.159, 0.500)

=====

# 12
Density functional theory data (PBE) for crystalline Zr2PtBr at its relaxed geometry.

Total DFT energy (no corrections) (eV per atom): -6.715
Density (g/cm3): 9.52
ΔE_f (raw) (eV/atom): -0.512
Space group: Cm (8)

Cell: 5.371 5.371 4.918 Å, 81.51 81.51 34.71°
Element x y z (fractional)
Br (0.495, 0.495, 0.586)
Zr (0.991, 0.991, 0.086)
Zr (0.759, 0.759, 0.658)
Pt (0.256, 0.256, 0.170)

=====

# 13
Density functional theory data (PBE) for crystalline ZrPtBr2 at its relaxed geometry.

Total DFT energy (no corrections) (eV per atom): -4.984
Density (g/cm3): 6.69
ΔE_f (raw) (eV/atom): -0.501
Space group: Imm2 (44)

Cell: 6.812 6.812 6.812 Å, 150.75 133.85 55.58°
Element x y z (fractional)
Br (0.074, 0.074, 0.000)
Br (0.751, 0.251, 0.500)
Zr (0.261, 0.761, 0.500)
Pt (0.415, 0.415, 0.000)

=====

# 14
Density functional theory data (PBE) for crystalline ZrPt2Br at its relaxed geometry.

Total DFT energy (no corrections) (eV per atom): -5.689
Density (g/cm3): 12.20
ΔE_f (raw) (eV/atom): -0.114
Space group: Fm-3m (225)

Cell: 4.763 4.763 4.763 Å, 60.00 60.00 60.00°
Element x y z (fractional)
Br (0.000, 0.000, 0.000)
Zr (0.500, 0.500, 0.500)
Pt (0.250, 0.250, 0.250)
Pt (0.750, 0.750, 0.750)

=====

# 15
Density functional theory data (PBE) for crystalline ZrPt2Br at its relaxed geometry.

Total DFT energy (no corrections) (eV per atom): -5.720
Density (g/cm3): 12.50
ΔE_f (raw) (eV/atom): -0.145
Space group: C2/m (12)

Cell: 4.629 5.917 3.078 Å, 75.39 88.85 112.70°
Element x y z (fractional)
Br (0.500, 0.500, 0.000)
Zr (0.000, 0.500, 0.500)
Pt (0.000, 0.000, 0.000)
Pt (0.500, 0.000, 0.500)

=====

# 16
Density functional theory data (PBE) for crystalline ZrPtBr2 at its relaxed geometry.

Total DFT energy (no corrections) (eV per atom): -4.537
Density (g/cm3): 8.89
ΔE_f (raw) (eV/atom): -0.053
Space group: Pmmm (47)

Cell: 3.297 5.591 4.519 Å, 90.00 90.00 90.00°
Element x y z (fractional)
Br (0.000, 0.000, 0.000)
Br (0.500, 0.500, 0.000)
Zr (0.000, 0.500, 0.500)
Pt (0.500, 0.000, 0.500)

=====

# 17
Density functional theory data (PBE) for crystalline Zr2PtBr at its relaxed geometry.

Total DFT energy (no corrections) (eV per atom): -6.755
Density (g/cm3): 9.06
ΔE_f (raw) (eV/atom): -0.552
Space group: P2/m (10)

Cell: 3.403 7.075 5.566 Å, 38.75 90.00 90.00°
Element x y z (fractional)
Br (0.500, 0.500, 0.500)
Zr (0.000, 0.000, 0.000)
Zr (0.500, 0.500, 0.000)
Pt (0.000, 0.000, 0.500)

=====

# 18
Density functional theory data (PBE) for crystalline ZrPtBr2 at its relaxed geometry.

Total DFT energy (no corrections) (eV per atom): -4.213
Density (g/cm3): 6.94
ΔE_f (raw) (eV/atom): 0.271
Space group: I-42d (122)

Cell: 6.481 6.481 6.845 Å, 61.74 61.74 90.00°
Element x y z (fractional)
Br (0.633, 0.125, 0.250)
Br (0.117, 0.625, 0.250)
Br (0.375, 0.367, 0.750)
Br (0.875, 0.883, 0.750)
Zr (0.500, 0.500, 0.000)
Zr (0.250, 0.750, 0.500)
Pt (0.000, 0.000, 0.000)
Pt (0.750, 0.250, 0.500)

=====

# 19
Density functional theory data (PBE) for crystalline ZrPtBr2 at its relaxed geometry.

Total DFT energy (no corrections) (eV per atom): -4.632
Density (g/cm3): 8.39
ΔE_f (raw) (eV/atom): -0.148
Space group: C2/m (12)

Cell: 5.556 5.556 4.155 Å, 67.98 67.98 111.94°
Element x y z (fractional)
Br (0.000, 0.000, 0.000)
Br (0.500, 0.500, 0.000)
Zr (0.000, 0.500, 0.500)
Pt (0.500, 0.000, 0.500)

=====

# 20
Density functional theory data (PBE) for crystalline ZrPtBr4 at its relaxed geometry.

Total DFT energy (no corrections) (eV per atom): -2.668
Density (g/cm3): 6.99
ΔE_f (raw) (eV/atom): 0.879
Space group: F-43m (216)

Cell: 5.882 5.882 5.882 Å, 60.00 60.00 60.00°
Element x y z (fractional)
Zr (0.000, 0.000, 0.000)
Pt (0.750, 0.750, 0.750)
Br (0.875, 0.375, 0.375)
Br (0.375, 0.375, 0.875)
Br (0.375, 0.875, 0.375)
Br (0.375, 0.375, 0.375)